[1]
## LiBeOs2 (PBE)

Data for crystalline LiBeOs2 at its relaxed geometry. Values from VASP.

VASP energy = -7.0103 eV/atom
Total magnetic moment = 0.01 μB/cell
Crystal system = cubic

```
&SYSTEM
  ibrav = 0, nat = 4, ntyp = 3
/
ATOMIC_SPECIES
Li 6.94 Li.upf
Be 9.01 Be.upf
Os 190.23 Os.upf
CELL_PARAMETERS angstrom
0.0000 2.9035 2.9035
2.9035 0.0000 2.9035
2.9035 2.9035 0.0000
ATOMIC_POSITIONS crystal
Li 0.0000 0.0000 0.0000
Be 0.7500 0.7500 0.7500
Os 0.2500 0.2500 0.2500
Os 0.5000 0.5000 0.5000
```


[2]
## LiBe2Os2 (PBE)

Data for crystalline LiBe2Os2 at its relaxed geometry. Values from VASP.

VASP energy = -6.4699 eV/atom
Total magnetic moment = 0.00 μB/cell
Crystal system = tetragonal

```
&SYSTEM
  ibrav = 0, nat = 10, ntyp = 3
/
ATOMIC_SPECIES
Li 6.94 Li.upf
Be 9.01 Be.upf
Os 190.23 Os.upf
CELL_PARAMETERS angstrom
5.7980 0.0000 0.0000
0.0000 5.7980 0.0000
0.0000 0.0000 3.1452
ATOMIC_POSITIONS crystal
Li 0.0000 0.0000 0.0000
Li 0.5000 0.5000 0.0000
Be 0.1241 0.3759 0.0000
Be 0.3759 0.8759 0.0000
Be 0.6241 0.1241 0.0000
Be 0.8759 0.6241 0.0000
Os 0.1730 0.6730 0.5000
Os 0.3270 0.1730 0.5000
Os 0.6730 0.8270 0.5000
Os 0.8270 0.3270 0.5000
```


Q: VASP energy of number 1 (LiBeOs2)?
A: -7.0103 eV/atom